[1]
5
Lattice="5.301 0.000 0.000 0.000 5.301 0.000 0.000 0.000 4.728" Properties=species:S:1:pos:R:3 comment="TiVGaTe2 (PBE, relaxed)" total_magnetization_mub_per_fu=1.5 e_form_raw_ev_per_fu=5.433 spacegroup="No. 123" pbc="T T T"
Ti 0.000 0.000 0.000
V 2.651 2.651 0.000
Ga 0.000 0.000 2.364
Te 0.000 2.651 2.364
Te 2.651 0.000 2.364

---

[2]
12
Lattice="3.111 -5.388 0.000 3.111 5.388 0.000 -2.074 0.000 11.706" Properties=species:S:1:pos:R:3 comment="Tb6CePr3Er2 (PBE, relaxed)" total_magnetization_mub_per_fu=1.2 spacegroup="No. 12" formation_energy_kj_per_mol_fu=43 pbc="T T T"
Tb 1.032 1.785 2.867
Tb -0.012 0.000 8.836
Tb 1.032 -1.785 2.867
Tb 3.116 1.785 8.838
Tb 4.160 0.000 2.870
Tb 3.116 -1.785 8.838
Ce 0.000 0.000 0.000
Pr 2.074 3.583 5.853
Pr 2.074 0.000 5.853
Pr 2.074 -3.583 5.853
Er 3.111 1.797 0.000
Er 3.111 -1.797 0.000

---

Number 1: theoretical density 5296 kg/m³. Number 2: theoretical density 7832 kg/m³.